# Tl2HRhAu, relaxed, DFT PBE-GGA
data_Tl2HRhAu
_cell_length_a 5.373
_cell_length_b 5.373
_cell_length_c 3.446
_cell_angle_alpha 90.00
_cell_angle_beta 90.00
_cell_angle_gamma 90.00
_symmetry_space_group_name_H-M 'P 1'
_symmetry_Int_Tables_number 1
_symmetry_space_group_name_Hall 'P 1'
loop_
_atom_site_label
_atom_site_fract_x
_atom_site_fract_y
_atom_site_fract_z
H1 0.000 0.000 0.500
Rh1 0.000 0.000 0.000
Au1 0.500 0.500 0.500
Tl1 0.000 0.500 0.000
Tl2 0.500 0.000 0.000
# Energy above the lowest structure with this stoichiometry   0.00 kJ/mol of atoms
# E_tot   -3.616 eV per atom
# Total magnetization   0.00 μB per cell